Record 1
Computed, not measured: a geometry-optimized Nd6OsAu2 structure at the PBE level of DFT.

Properties
Volume   558 Å³ per cell

```
data_Nd6OsAu2
_chemical_formula_sum 'Nd12 Os2 Au4'
_space_group_name_H-M_alt 'P 1'
_space_group_IT_number 1
_space_group_name_Hall 'P 1'
_cell_length_a 6.936
_cell_length_b 7.624
_cell_length_c 12.352
_cell_angle_alpha 90.00
_cell_angle_beta 121.28
_cell_angle_gamma 90.00
loop_
_atom_site_label
_atom_site_type_symbol
_atom_site_fract_x
_atom_site_fract_y
_atom_site_fract_z
Nd1 Nd 0.107 0.035 0.251
Nd2 Nd 0.107 0.465 0.751
Nd3 Nd 0.243 0.683 0.069
Nd4 Nd 0.243 0.817 0.569
Nd5 Nd 0.390 0.187 0.063
Nd6 Nd 0.390 0.313 0.563
Nd7 Nd 0.610 0.687 0.437
Nd8 Nd 0.610 0.813 0.937
Nd9 Nd 0.757 0.183 0.431
Nd10 Nd 0.757 0.317 0.931
Nd11 Nd 0.893 0.535 0.249
Nd12 Nd 0.893 0.965 0.749
Os1 Os 0.000 0.000 0.000
Os2 Os 0.000 0.500 0.500
Au1 Au 0.318 0.109 0.763
Au2 Au 0.318 0.391 0.263
Au3 Au 0.682 0.609 0.737
Au4 Au 0.682 0.891 0.237
```



Record 2
Computed, not measured: a geometry-optimized Nd8OsAu2 structure at the PBE level of DFT.

Properties
Excess energy over the best structure of this formula in the dataset   0.000 eV/atom
Volume   324 Å³ per cell

```
data_Nd8OsAu2
_chemical_formula_sum 'Nd8 Os1 Au2'
_space_group_name_H-M_alt 'P 1'
_space_group_IT_number 1
_space_group_name_Hall 'P 1'
_cell_length_a 9.368
_cell_length_b 9.368
_cell_length_c 7.075
_cell_angle_alpha 101.58
_cell_angle_beta 101.58
_cell_angle_gamma 32.23
loop_
_atom_site_label
_atom_site_type_symbol
_atom_site_fract_x
_atom_site_fract_y
_atom_site_fract_z
Nd1 Nd 0.027 0.027 0.288
Nd2 Nd 0.203 0.203 0.820
Nd3 Nd 0.341 0.341 0.532
Nd4 Nd 0.413 0.413 0.064
Nd5 Nd 0.587 0.587 0.936
Nd6 Nd 0.659 0.659 0.468
Nd7 Nd 0.797 0.797 0.180
Nd8 Nd 0.973 0.973 0.712
Os1 Os 0.500 0.500 0.500
Au1 Au 0.191 0.191 0.233
Au2 Au 0.809 0.809 0.767
```



Record 3
Computed, not measured: a geometry-optimized PmNdOsAu structure at the PBE level of DFT.

Properties
Volume   373 Å³ per cell

```
data_PmNdOsAu
_chemical_formula_sum 'Pm4 Nd4 Os4 Au4'
_space_group_name_H-M_alt 'P 1'
_space_group_IT_number 1
_space_group_name_Hall 'P 1'
_cell_length_a 7.198
_cell_length_b 7.198
_cell_length_c 7.198
_cell_angle_alpha 90.00
_cell_angle_beta 90.00
_cell_angle_gamma 90.00
loop_
_atom_site_label
_atom_site_type_symbol
_atom_site_fract_x
_atom_site_fract_y
_atom_site_fract_z
Pm1 Pm 0.000 0.000 0.000
Pm2 Pm 0.000 0.500 0.500
Pm3 Pm 0.500 0.000 0.500
Pm4 Pm 0.500 0.500 0.000
Nd1 Nd 0.000 0.000 0.500
Nd2 Nd 0.000 0.500 0.000
Nd3 Nd 0.500 0.000 0.000
Nd4 Nd 0.500 0.500 0.500
Os1 Os 0.250 0.250 0.750
Os2 Os 0.250 0.750 0.250
Os3 Os 0.750 0.250 0.250
Os4 Os 0.750 0.750 0.750
Au1 Au 0.250 0.250 0.250
Au2 Au 0.250 0.750 0.750
Au3 Au 0.750 0.250 0.750
Au4 Au 0.750 0.750 0.250
```



Record 4
Computed, not measured: a geometry-optimized NdScOsAu structure at the PBE level of DFT.

Properties
Volume   334 Å³ per cell

```
data_NdScOsAu
_chemical_formula_sum 'Nd4 Sc4 Os4 Au4'
_space_group_name_H-M_alt 'P 1'
_space_group_IT_number 1
_space_group_name_Hall 'P 1'
_cell_length_a 6.940
_cell_length_b 6.940
_cell_length_c 6.940
_cell_angle_alpha 90.00
_cell_angle_beta 90.00
_cell_angle_gamma 90.00
loop_
_atom_site_label
_atom_site_type_symbol
_atom_site_fract_x
_atom_site_fract_y
_atom_site_fract_z
Nd1 Nd 0.000 0.000 0.000
Nd2 Nd 0.000 0.500 0.500
Nd3 Nd 0.500 0.000 0.500
Nd4 Nd 0.500 0.500 0.000
Sc1 Sc 0.000 0.000 0.500
Sc2 Sc 0.000 0.500 0.000
Sc3 Sc 0.500 0.000 0.000
Sc4 Sc 0.500 0.500 0.500
Os1 Os 0.250 0.250 0.250
Os2 Os 0.250 0.750 0.750
Os3 Os 0.750 0.250 0.750
Os4 Os 0.750 0.750 0.250
Au1 Au 0.250 0.250 0.750
Au2 Au 0.250 0.750 0.250
Au3 Au 0.750 0.250 0.250
Au4 Au 0.750 0.750 0.750
```



| no. | DFT formation energy (eV/atom) |
| --- | --- |
| 1 | -0.364 |
| 2 | -0.295 |
| 3 | -0.313 |
| 4 | -0.345 |